# AcLaWO6

A geometry-optimized AcLaWO6 structure (GGA+U, Alexandria).

abc: 5.857 5.857 10.068
angles: 90.00 90.00 120.00
Fractional coordinates of all 18 atoms:
W 0.333 0.667 0.750
W 0.667 0.333 0.250
Ac 0.000 0.000 0.000
Ac 0.000 0.000 0.500
O 0.944 0.613 0.359
O 0.613 0.944 0.859
O 0.944 0.332 0.141
O 0.387 0.056 0.141
O 0.668 0.613 0.141
O 0.056 0.668 0.859
O 0.332 0.944 0.641
O 0.332 0.387 0.859
O 0.387 0.332 0.359
O 0.668 0.056 0.359
O 0.613 0.668 0.641
O 0.056 0.387 0.641
La 0.333 0.667 0.250
La 0.667 0.333 0.750

E_tot in eV per atom: -7.995
N(E_F) in states/eV/atom: 0.000
Volume in Å³/cell: 299.1
SG: No. 163